(1)
Here is a relaxed structure of TbSmLuIn from Alexandria via LeMat-Bulk. Energies are from PBE-GGA.

Properties
E_tot, eV per atom: -4.3054

Structure (CIF):
```
data_TbSmLuIn
_cell_length_a 7.7181
_cell_length_b 7.7181
_cell_length_c 7.7181
_cell_angle_alpha 90.00
_cell_angle_beta 90.00
_cell_angle_gamma 90.00
_symmetry_space_group_name_H-M 'F -4 3 m'
_symmetry_Int_Tables_number 216
_symmetry_space_group_name_Hall 'F -4 2 3'
loop_
_atom_site_label
_atom_site_type_symbol
_atom_site_fract_x
_atom_site_fract_y
_atom_site_fract_z
_atom_site_occupancy
Tb1 Tb 0.0000 0.0000 0.0000 1
Sm1 Sm 0.0000 0.0000 0.5000 1
Lu1 Lu 0.2500 0.2500 0.2500 1
In1 In 0.2500 0.2500 0.7500 1
```

***

(2)
Here is a relaxed structure of SmLuTlIn from Alexandria via LeMat-Bulk. Energies are from PBE-GGA.

Properties
E_tot, eV per atom: -3.9643

Structure (CIF):
```
data_SmLuTlIn
_cell_length_a 7.5632
_cell_length_b 7.5632
_cell_length_c 7.5632
_cell_angle_alpha 90.00
_cell_angle_beta 90.00
_cell_angle_gamma 90.00
_symmetry_space_group_name_H-M 'F -4 3 m'
_symmetry_Int_Tables_number 216
_symmetry_space_group_name_Hall 'F -4 2 3'
loop_
_atom_site_label
_atom_site_type_symbol
_atom_site_fract_x
_atom_site_fract_y
_atom_site_fract_z
_atom_site_occupancy
Sm1 Sm 0.0000 0.0000 0.0000 1
Lu1 Lu 0.0000 0.0000 0.5000 1
Tl1 Tl 0.2500 0.2500 0.7500 1
In1 In 0.2500 0.2500 0.2500 1
```